VASP calculation (PBE-GGA) on a relaxed structure of Pr3AlIn2.

It has space group P4/mmm (No. 123), with a = 3.8449 Å, b = 3.8449 Å, c = 11.6503 Å, α = 90.00°, β = 90.00° and γ = 90.00°. The distinct sites, in fractional coordinates, are Pr at (0.0000, 0.0000, 0.0000), Pr at (0.0000, 0.0000, 0.3425), Al at (0.5000, 0.5000, 0.5000) and In at (0.5000, 0.5000, 0.1709).

The magnetic moment is 0.00 Bohr magnetons per cell. The formation energy is -437 meV/atom. For the density of states at the Fermi level, the calculation gives 3.48 states/eV/f.u.

---

VASP calculation (PBE-GGA) on a relaxed structure of ZrTe2Se.

It has space group Cm (No. 8), with a = 9.7091 Å, b = 3.8012 Å, c = 6.3616 Å, α = 90.00°, β = 102.09° and γ = 90.00°. The distinct sites, in fractional coordinates, are Zr at (0.0000, 0.0000, 0.0000), Te at (0.0384, 0.5000, 0.3647), Te at (0.3527, 0.0000, 0.6632) and Se at (0.2054, 0.5000, 0.0123).

The magnetic moment is 0.00 Bohr magnetons per cell. For the density of states at the Fermi level, the calculation gives 0.80 states/eV/f.u. The value obtained for the formation energy from raw total energies is -718 meV/atom.

---

VASP calculation (PBE-GGA) on a relaxed structure of KPaTe3.

It has space group Pm-3m (No. 221), with a = 5.9345 Å, b = 5.9345 Å, c = 5.9345 Å, α = 90.00°, β = 90.00° and γ = 90.00°. The distinct sites, in fractional coordinates, are K at (0.0000, 0.0000, 0.0000), Pa at (0.5000, 0.5000, 0.5000) and Te at (0.0000, 0.5000, 0.5000).

The magnetic moment is 0.18 Bohr magnetons per cell. As for the energy relative to the lowest polymorph listed for this composition: 0.2 kJ/mol of atoms. For the density of states at the Fermi level, the calculation gives 0.17 states/eV/f.u. The value obtained for the formation energy from raw total energies is -892 meV/atom.

---

VASP calculation (PBE-GGA) on a relaxed structure of CrFeSb2Ru.

It has space group P4/mmm (No. 123), with a = 4.8974 Å, b = 4.8974 Å, c = 4.3713 Å, α = 90.00°, β = 90.00° and γ = 90.00°. The distinct sites, in fractional coordinates, are Cr at (0.0000, 0.0000, 0.0000), Fe at (0.5000, 0.5000, 0.5000), Sb at (0.0000, 0.5000, 0.0000) and Ru at (0.0000, 0.0000, 0.5000).

The magnetic moment is 0.61 Bohr magnetons per cell. For the density of states at the Fermi level, the calculation gives 10.40 states/eV/f.u. The value obtained for the formation energy from raw total energies is 1366 meV/atom.

---

VASP calculation (PBE-GGA) on a relaxed structure of MoIr2Rh4.

It has space group Cmmm (No. 65), with a = 2.6772 Å, b = 18.7181 Å, c = 4.4509 Å, α = 90.00°, β = 90.00° and γ = 90.00°. The distinct sites, in fractional coordinates, are Mo at (0.0000, 0.0000, 0.0000), Ir at (0.0000, 0.3100, 0.5000), Rh at (0.0000, 0.0679, 0.5000) and Rh at (0.0000, 0.1529, 0.0000).

The magnetic moment is 0.00 Bohr magnetons per cell. The formation energy is 315 meV/atom. As for the energy relative to the lowest polymorph listed for this composition: 5.2 kJ/mol of atoms. For the density of states at the Fermi level, the calculation gives 8.28 states/eV/f.u.

---

VASP calculation (PBE-GGA) on a relaxed structure of CeAu12.

It has space group I4/mmm (No. 139), with a = 9.5020 Å, b = 9.5020 Å, c = 5.7298 Å, α = 90.00°, β = 90.00° and γ = 90.00°. The distinct sites, in fractional coordinates, are Ce at (0.0000, 0.0000, 0.0000), Au at (0.0000, 0.2151, 0.5000), Au at (0.0000, 0.3450, 0.0000) and Au at (0.2500, 0.2500, 0.2500).

The magnetic moment is 2.13 Bohr magnetons per cell. The formation energy is -159 meV/atom. As for the energy relative to the lowest polymorph listed for this composition: 0.0 kJ/mol of atoms. For the density of states at the Fermi level, the calculation gives 11.29 states/eV/f.u.

---

> Which value of density of states at the Fermi level does entry 2 give?

0.80 states/eV/f.u.

---

> Among the records above, which one has the lowest density of states at the Fermi level?

KPaTe3

---

> Number 6 is which compound?

CeAu12

---

> Which formula does entry 6 have?

CeAu12